# 1
Here is crystalline Hf2TiZn at its relaxed geometry from Alexandria via LeMat-Bulk. Energies are from GGA-PBE.

Cell lengths 4.264, 4.264, 4.132 Å; angles 90.00, 90.00, 90.00 degrees
Sites, in units of the cell vectors:
Hf: 0.000 0.500 0.000
Hf: 0.500 0.000 0.000
Ti: 0.000 0.000 0.500
Zn: 0.500 0.500 0.500

Results
Total magnetization = 0.000 μB per atom
Formation energy = -0.27 eV/f.u.
Final energy = -7.337 eV per atom
Space-group type = P4/mmm (123)


# 2
Here is crystalline Hf9Ti4Zn11 at its relaxed geometry from Alexandria via LeMat-Bulk. Energies are from GGA-PBE.

Cell lengths 11.867, 11.867, 3.024 Å; angles 90.00, 90.00, 95.03 degrees
Sites, in units of the cell vectors:
Hf: 0.000 0.000 0.000
Hf: 0.115 0.640 0.000
Hf: 0.294 0.472 0.000
Hf: 0.360 0.885 0.000
Hf: 0.472 0.294 0.000
Hf: 0.528 0.706 0.000
Hf: 0.640 0.115 0.000
Hf: 0.706 0.528 0.000
Hf: 0.885 0.360 0.000
Ti: 0.072 0.229 0.000
Ti: 0.229 0.072 0.000
Ti: 0.771 0.928 0.000
Ti: 0.928 0.771 0.000
Zn: 0.087 0.427 0.500
Zn: 0.143 0.857 0.500
Zn: 0.265 0.265 0.500
Zn: 0.321 0.679 0.500
Zn: 0.427 0.087 0.500
Zn: 0.500 0.500 0.500
Zn: 0.573 0.913 0.500
Zn: 0.679 0.321 0.500
Zn: 0.735 0.735 0.500
Zn: 0.857 0.143 0.500
Zn: 0.913 0.573 0.500

Results
Total magnetization = 0.000 μB per atom
Formation energy = -2.40 eV/f.u.
Final energy = -5.732 eV per atom
Space-group type = Cmmm (65)


# 3
Here is crystalline Hf2TiZn4 at its relaxed geometry from Alexandria via LeMat-Bulk. Energies are from GGA-PBE.

Cell lengths 4.566, 4.566, 12.380 Å; angles 90.00, 90.00, 90.00 degrees
Sites, in units of the cell vectors:
Hf: 0.000 0.000 0.247
Hf: 0.000 0.000 0.753
Hf: 0.500 0.500 0.253
Hf: 0.500 0.500 0.747
Ti: 0.000 0.000 0.500
Ti: 0.500 0.500 0.000
Zn: 0.000 0.500 0.107
Zn: 0.000 0.500 0.393
Zn: 0.000 0.500 0.607
Zn: 0.000 0.500 0.893
Zn: 0.500 0.000 0.107
Zn: 0.500 0.000 0.393
Zn: 0.500 0.000 0.607
Zn: 0.500 0.000 0.893

Results
Total magnetization = 0.077 μB per atom
Formation energy = 0.11 eV/f.u.
Final energy = -4.684 eV per atom
Space-group type = I4/mmm (139)